1.
Material: Rb2ZrNbS6
Method: DFT, GGA-PBE
State: relaxed

Values from the calculation:
total magnetization = 0.0 μB per formula unit
space group = No. 12

Unit cell a=7.052 b=7.052 c=7.054 alpha=119.99 beta=119.99 gamma=60.02
Sites, in units of the cell vectors:
Rb 0.250 0.250 0.249
Rb 0.750 0.750 0.751
Zr 0.000 0.000 0.500
Nb 0.500 0.500 0.000
S 0.253 0.745 0.244
S 0.255 0.255 0.751
S 0.255 0.747 0.756
S 0.745 0.253 0.244
S 0.745 0.745 0.249
S 0.747 0.255 0.756

=====

2.
Material: RbNbSb
Method: DFT, GGA-PBE
State: relaxed

Values from the calculation:
total magnetization = 3.0 μB per formula unit
energy relative to the lowest polymorph listed for this composition = 0.000 eV per atom
space group = No. 216

Unit cell a=5.142 b=5.142 c=5.142 alpha=60.00 beta=60.00 gamma=60.00
Sites, in units of the cell vectors:
Rb 0.000 0.000 0.000
Nb 0.750 0.750 0.750
Sb 0.500 0.500 0.500

=====

In order of appearance, density = 3.66; 5.18 g/cm³.
In order of appearance, raw total energy = -5.5986; -4.2079 eV per atom.